Record 1
Gd2GeF | GGA-PBE | optimized geometry

Results
Theoretical density in kg/m³: 5459
VASP energy in eV/cell: -41.21
ΔE_f (raw) in eV per atom: -1.64

Cell: 4.4199 4.4199 7.7357 Å, 73.40 73.40 60.00°
Closest atoms and distances in Å follow each position.
Fractional coordinates of all 4 atoms:
1 Ge 0.5000 0.5000 0.5000  6 Gd 2.91
2 Gd 0.1026 0.1026 0.6923  1 F 2.25
3 Gd 0.8974 0.8974 0.3077  1 F 2.25
4 F 0.0000 0.0000 0.0000  2 Gd 2.25


Record 2
Gd2HF | GGA-PBE | optimized geometry

Results
Theoretical density in kg/m³: 6562
VASP energy in eV/cell: -38.60

Cell: 3.6563 3.6563 7.6104 Å, 76.10 76.10 60.00°
Closest atoms and distances in Å follow each position.
Fractional coordinates of all 4 atoms:
1 H 0.5000 0.5000 0.5000  6 Gd 2.55
2 Gd 0.1018 0.1018 0.6947  1 F 2.23
3 Gd 0.8982 0.8982 0.3053  1 F 2.23
4 F 0.0000 0.0000 0.0000  2 Gd 2.23


Record 3
GdH2F | GGA-PBE | optimized geometry

Results
Theoretical density in kg/m³: 6333
VASP energy in eV/cell: -26.99

Cell: 3.2210 3.2210 4.5054 Å, 90.00 90.00 90.00°
Closest atoms and distances in Å follow each position.
Fractional coordinates of all 4 atoms:
1 H 0.0000 0.0000 0.7878  1 H 1.91
2 H 0.0000 0.0000 0.2122  1 H 1.91
3 Gd 0.5000 0.5000 0.0000  2 F 2.25, 8 H 2.47
4 F 0.5000 0.5000 0.5000  2 Gd 2.25


Record 4
GdHF2 | GGA-PBE | optimized geometry

Results
Theoretical density in kg/m³: 4026
VASP energy in eV/cell: -26.12

Cell: 3.8659 3.8659 6.6402 Å, 73.08 73.08 60.00°
Closest atoms and distances in Å follow each position.
Fractional coordinates of all 4 atoms:
1 H 0.5000 0.5000 0.5000  6 F 2.48
2 Gd 0.0000 0.0000 0.0000  2 F 2.04
3 F 0.1089 0.1089 0.6734  1 Gd 2.04
4 F 0.8911 0.8911 0.3266  1 Gd 2.04


Record 5
Gd2HfF | GGA-PBE | optimized geometry

Results
Theoretical density in kg/m³: 9398
VASP energy in eV/cell: -42.97
ΔE_f (raw) in eV per atom: -0.75

Cell: 3.1982 3.1982 10.3777 Å, 81.14 81.14 60.00°
Closest atoms and distances in Å follow each position.
Fractional coordinates of all 4 atoms:
1 Gd 0.1037 0.1037 0.6888  3 F 2.67
2 Gd 0.8963 0.8963 0.3112  3 F 2.67
3 Hf 0.0000 0.0000 0.0000  2 Gd 3.18, 6 Hf 3.20
4 F 0.5000 0.5000 0.5000  6 Gd 2.67


Record 6
GdHgF2 | GGA-PBE | optimized geometry

Results
Theoretical density in kg/m³: 6684
VASP energy in eV/cell: -28.14
ΔE_f (raw) in eV per atom: -2.50

Cell: 4.0081 4.0081 7.4371 Å, 74.37 74.37 60.00°
Closest atoms and distances in Å follow each position.
Fractional coordinates of all 4 atoms:
1 Gd 0.5000 0.5000 0.5000  6 F 2.36
2 Hg 0.0000 0.0000 0.0000  2 F 3.05
3 F 0.1439 0.1439 0.5683  3 Gd 2.36, 3 F 2.51
4 F 0.8561 0.8561 0.4317  3 Gd 2.36, 3 F 2.51


Record 7
GdHo2F | GGA-PBE | optimized geometry

Results
Theoretical density in kg/m³: 8504
VASP energy in eV/cell: -29.61
ΔE_f (raw) in eV per atom: -1.13

Cell: 3.6733 3.6733 8.7189 Å, 77.84 77.84 60.00°
Closest atoms and distances in Å follow each position.
Fractional coordinates of all 4 atoms:
1 Gd 0.5000 0.5000 0.5000  6 Ho 3.52, 6 Gd 3.67
2 Ho 0.7225 0.7225 0.8325  3 F 2.55
3 Ho 0.2775 0.2775 0.1675  3 F 2.55
4 F 0.0000 0.0000 0.0000  6 Ho 2.55


Record 8
GdIF | GGA-PBE | optimized geometry

Results
Theoretical density in kg/m³: 7129
VASP energy in eV/cell: -23.44
ΔE_f (raw) in eV per atom: -1.98

Cell: 3.5843 3.5843 6.0528 Å, 107.22 107.22 90.00°
Closest atoms and distances in Å follow each position.
Fractional coordinates of all 3 atoms:
1 I 0.0135 0.0135 0.0270  1 F 2.97, 4 Gd 3.28
2 Gd 0.7030 0.7030 0.4060  4 F 2.68
3 F 0.2835 0.2835 0.5670  4 Gd 2.68, 1 I 2.97